Here is PmNd5Se6 after structural relaxation from the Alexandria database. Energies are from GGA-PBE.

Calculated values
The density of states at the Fermi level comes out at 10.22 states/eV/cell. The size of the total moment is 0.00 μB per cell. The formation energy without anion corrections is -1840 meV/atom.

```
data_PmNd5Se6
_cell_length_a 7.3156
_cell_length_b 12.7075
_cell_length_c 7.3064
_cell_angle_alpha 90.00
_cell_angle_beta 109.64
_cell_angle_gamma 90.00
_space_group_name_H-M_alt 'C 1 2/m 1'
_space_group_IT_number 12
_space_group_name_Hall '-C 2y'
loop_
_atom_site_label
_atom_site_type_symbol
_atom_site_fract_x
_atom_site_fract_y
_atom_site_fract_z
Pm1 Pm 0.0000 0.0000 0.0000
Nd1 Nd 0.0000 0.1676 0.5000
Nd2 Nd 0.0000 0.3330 0.0000
Nd3 Nd 0.0000 0.5000 0.5000
Se1 Se 0.2485 0.0000 0.7506
Se2 Se 0.2488 0.1657 0.2488
```